[1]
## NbH2O (PBE)

Data for crystalline NbH2O at its relaxed geometry.

Cell: 3.421 3.421 3.421 Å, 60.00 60.00 60.00°
Positions (direct):
Nb 0.000 0.000 0.000
H 0.250 0.250 0.250
H 0.750 0.750 0.750
O 0.500 0.500 0.500

Output
Space group: Fm-3m, No. 225
DOS(E_F): 1.4 states/eV per cell
ΔE to the lowest computed polymorph: 368.1 meV/atom

[2]
## TiNb2Pd (PBE)

Data for crystalline TiNb2Pd at its relaxed geometry.

Cell: 3.877 3.877 4.561 Å, 90.00 90.00 90.00°
Positions (direct):
Ti 0.000 0.000 0.000
Nb 0.000 0.500 0.500
Nb 0.500 0.000 0.500
Pd 0.500 0.500 0.000

Output
Space group: P4/mmm, No. 123
Energy of formation: -0.15 eV/atom
DOS(E_F): 4.1 states/eV per cell
ΔE to the lowest computed polymorph: 85.0 meV/atom

[3]
## KRb2NaS (PBE)

Data for crystalline KRb2NaS at its relaxed geometry.

Cell: 6.781 6.781 5.515 Å, 90.00 90.00 90.00°
Positions (direct):
K 0.000 0.000 0.000
Rb 0.000 0.500 0.500
Rb 0.500 0.000 0.500
Na 0.500 0.500 0.000
S 0.500 0.500 0.500

Output
ΔE_f (raw): -0.4786 eV/atom
Space group: P4/mmm, No. 123
DOS(E_F): 2.1 states/eV per cell
ΔE to the lowest computed polymorph: 56.7 meV/atom

[4]
## Li3PmTm2Te6 (PBE)

Data for crystalline Li3PmTm2Te6 at its relaxed geometry.

Cell: 7.530 7.530 7.492 Å, 99.65 99.65 120.00°
Positions (direct):
Li 0.000 0.000 0.000
Li 0.335 0.665 0.000
Li 0.665 0.335 0.000
Pm 0.500 0.500 0.500
Tm 0.167 0.833 0.500
Tm 0.833 0.167 0.500
Te 0.073 0.415 0.245
Te 0.243 0.243 0.756
Te 0.415 0.073 0.245
Te 0.585 0.927 0.755
Te 0.757 0.757 0.244
Te 0.927 0.585 0.755

Output
ΔE_f (raw): -1.2794 eV/atom
Space group: C2/m, No. 12

[5]
## BaLa2InCo (PBE)

Data for crystalline BaLa2InCo at its relaxed geometry.

Cell: 5.346 5.346 5.749 Å, 90.00 90.00 90.00°
Positions (direct):
Ba 0.000 0.000 0.000
La 0.000 0.500 0.500
La 0.500 0.000 0.500
In 0.500 0.500 0.000
Co 0.000 0.000 0.500

Output
Space group: P4/mmm, No. 123
Energy of formation: -0.10 eV/atom
DOS(E_F): 5.5 states/eV per cell
ΔE to the lowest computed polymorph: 54.1 meV/atom

[6]
## InIrRu2 (PBE)

Data for crystalline InIrRu2 at its relaxed geometry.

Cell: 2.834 2.834 7.746 Å, 90.00 90.00 90.00°
Positions (direct):
In 0.000 0.000 0.000
Ir 0.000 0.000 0.500
Ru 0.500 0.500 0.268
Ru 0.500 0.500 0.732

Output
Space group: P4/mmm, No. 123
Energy of formation: 0.15 eV/atom
DOS(E_F): 4.5 states/eV per cell

[7]
## DyGaHg (PBE)

Data for crystalline DyGaHg at its relaxed geometry.

Cell: 4.669 4.669 3.551 Å, 90.00 90.00 120.00°
Positions (direct):
Dy 0.000 0.000 0.000
Ga 0.667 0.333 0.502
Hg 0.333 0.667 0.499

Output
Space group: P3m1, No. 156
Energy of formation: -0.50 eV/atom
DOS(E_F): 1.3 states/eV per cell
ΔE to the lowest computed polymorph: 4.5 meV/atom

[8]
## CdCu2Cl (PBE)

Data for crystalline CdCu2Cl at its relaxed geometry.

Cell: 5.446 5.446 3.075 Å, 105.93 105.93 115.94°
Positions (direct):
Cd 0.000 0.000 0.000
Cu 0.000 0.500 0.000
Cu 0.500 0.000 0.000
Cl 0.500 0.500 0.000

Output
ΔE_f (raw): 0.2347 eV/atom
Space group: C2/m, No. 12
DOS(E_F): 1.8 states/eV per cell
ΔE to the lowest computed polymorph: 290.7 meV/atom

[9]
## PaHgF5 (PBE)

Data for crystalline PaHgF5 at its relaxed geometry.

Cell: 6.627 6.627 6.627 Å, 139.39 105.77 88.23°
Positions (direct):
Pa 0.000 0.000 0.000
Hg 0.500 0.500 0.000
F 0.000 0.500 0.500
F 0.029 0.848 0.181
F 0.334 0.152 0.181
F 0.666 0.848 0.819
F 0.971 0.152 0.819

Output
ΔE_f (raw): -3.1851 eV/atom
Space group: Immm, No. 71

[10]
## CeHfInHg (PBE)

Data for crystalline CeHfInHg at its relaxed geometry.

Cell: 5.196 5.196 5.196 Å, 60.00 60.00 60.00°
Positions (direct):
Ce 0.000 0.000 0.000
Hf 0.500 0.500 0.500
In 0.750 0.750 0.750
Hg 0.250 0.250 0.250

Output
Space group: F-43m, No. 216
Energy of formation: -0.10 eV/atom
DOS(E_F): 8.7 states/eV per cell

[11]
## Sc2CuAg2 (PBE)

Data for crystalline Sc2CuAg2 at its relaxed geometry.

Cell: 7.269 7.269 3.752 Å, 90.00 90.00 90.00°
Positions (direct):
Sc 0.169 0.331 0.000
Sc 0.331 0.831 0.000
Sc 0.669 0.169 0.000
Sc 0.831 0.669 0.000
Cu 0.000 0.000 0.500
Cu 0.500 0.500 0.500
Ag 0.135 0.635 0.500
Ag 0.365 0.135 0.500
Ag 0.635 0.865 0.500
Ag 0.865 0.365 0.500

Output
Space group: P4/mbm, No. 127
Energy of formation: -0.06 eV/atom
DOS(E_F): 7.4 states/eV per cell
ΔE to the lowest computed polymorph: 0.0 meV/atom

[12]
## Y5GeBi4 (PBE)

Data for crystalline Y5GeBi4 at its relaxed geometry.

Cell: 7.657 7.657 7.657 Å, 99.62 99.62 131.73°
Positions (direct):
Y 0.000 0.000 0.000
Y 0.218 0.598 0.816
Y 0.402 0.218 0.621
Y 0.598 0.782 0.379
Y 0.782 0.402 0.184
Ge 0.500 0.500 0.000
Bi 0.093 0.304 0.397
Bi 0.304 0.907 0.211
Bi 0.696 0.093 0.789
Bi 0.907 0.696 0.603

Output
Space group: I4/m, No. 87
Energy of formation: -0.85 eV/atom
DOS(E_F): 3.5 states/eV per cell

[13]
## ZrIn2Co (PBE)

Data for crystalline ZrIn2Co at its relaxed geometry.

Cell: 8.990 8.990 8.990 Å, 21.51 21.51 21.51°
Positions (direct):
Zr 0.000 0.000 0.000
In 0.233 0.233 0.233
In 0.467 0.467 0.467
Co 0.726 0.726 0.726

Output
Space group: R3m, No. 160
Energy of formation: 0.05 eV/atom
DOS(E_F): 3.3 states/eV per cell

[14]
## Ba2MgRhPb (PBE)

Data for crystalline Ba2MgRhPb at its relaxed geometry.

Cell: 5.952 5.952 5.062 Å, 90.00 90.00 90.00°
Positions (direct):
Ba 0.000 0.500 0.000
Ba 0.500 0.000 0.000
Mg 0.000 0.000 0.500
Rh 0.000 0.000 0.000
Pb 0.500 0.500 0.500

Output
Space group: P4/mmm, No. 123
Energy of formation: -0.20 eV/atom
DOS(E_F): 6.2 states/eV per cell

[15]
## Cs4GeCl5 (PBE)

Data for crystalline Cs4GeCl5 at its relaxed geometry.

Cell: 8.337 8.337 8.337 Å, 101.27 101.27 127.52°
Positions (direct):
Cs 0.092 0.706 0.798
Cs 0.294 0.092 0.387
Cs 0.706 0.908 0.613
Cs 0.908 0.294 0.202
Ge 0.502 0.502 0.000
Cl 0.004 0.004 0.000
Cl 0.242 0.416 0.656
Cl 0.416 0.760 0.174
Cl 0.586 0.242 0.826
Cl 0.760 0.586 0.344

Output
ΔE_f (raw): -1.4904 eV/atom
Space group: I4, No. 79

[16]
## Ga2ReRu2 (PBE)

Data for crystalline Ga2ReRu2 at its relaxed geometry.

Cell: 7.042 7.042 2.896 Å, 90.00 90.00 90.00°
Positions (direct):
Ga 0.131 0.369 0.000
Ga 0.369 0.869 0.000
Ga 0.631 0.131 0.000
Ga 0.869 0.631 0.000
Re 0.000 0.000 0.000
Re 0.500 0.500 0.000
Ru 0.169 0.669 0.500
Ru 0.331 0.169 0.500
Ru 0.669 0.831 0.500
Ru 0.831 0.331 0.500

Output
Space group: P4/mbm, No. 127
Energy of formation: 0.07 eV/atom
DOS(E_F): 8.5 states/eV per cell

[17]
## LiCr2IrS (PBE)

Data for crystalline LiCr2IrS at its relaxed geometry.

Cell: 4.278 4.278 4.403 Å, 90.00 90.00 90.00°
Positions (direct):
Li 0.000 0.000 0.000
Cr 0.000 0.500 0.500
Cr 0.500 0.000 0.500
Ir 0.500 0.500 0.000
S 0.500 0.500 0.500

Output
ΔE_f (raw): 0.3707 eV/atom
Space group: P4/mmm, No. 123
DOS(E_F): 4.6 states/eV per cell

[18]
## MgTaAl2 (PBE)

Data for crystalline MgTaAl2 at its relaxed geometry.

Cell: 3.047 4.102 5.674 Å, 90.00 90.00 90.00°
Positions (direct):
Mg 0.000 0.000 0.000
Ta 0.500 0.500 0.267
Al 0.000 0.000 0.487
Al 0.500 0.500 0.758

Output
Space group: Pmm2, No. 25
Energy of formation: 0.06 eV/atom
DOS(E_F): 2.7 states/eV per cell

[19]
## In2H2Se (PBE)

Data for crystalline In2H2Se at its relaxed geometry.

Cell: 4.184 4.184 6.409 Å, 102.35 102.35 52.97°
Positions (direct):
In 0.143 0.143 0.216
In 0.857 0.857 0.784
H 0.298 0.298 0.869
H 0.702 0.702 0.131
Se 0.500 0.500 0.500

Output
Space group: C2/m, No. 12
DOS(E_F): 0.6 states/eV per cell

[20]
## Tm4HPb3 (PBE)

Data for crystalline Tm4HPb3 at its relaxed geometry.

Cell: 10.781 6.042 6.267 Å, 90.00 90.00 90.00°
Positions (direct):
Tm 0.000 0.088 0.000
Tm 0.000 0.602 0.744
Tm 0.167 0.149 0.526
Tm 0.333 0.851 0.026
Tm 0.500 0.398 0.244
Tm 0.500 0.912 0.500
Tm 0.667 0.851 0.026
Tm 0.833 0.149 0.526
H 0.000 0.972 0.674
H 0.500 0.028 0.174
Pb 0.000 0.630 0.244
Pb 0.237 0.347 0.013
Pb 0.263 0.653 0.513
Pb 0.500 0.370 0.744
Pb 0.737 0.653 0.513
Pb 0.763 0.347 0.013

Output
Space group: Pmn2_1, No. 31
DOS(E_F): 12.2 states/eV per cell

no.,volume (A^3/atom),E (eV per cell),total magnetization (μB/f.u.)
1,7.1,-22.5,0.0
2,17.1,-33.8,0.0
3,50.7,-10.9,0.0
4,28.9,-53.6,0.0
5,32.9,-22.1,0.0
6,15.6,-29.6,0.0
7,22.3,-9.4,0.0
8,17.5,-10.0,0.0
9,25.0,-41.5,0.0
10,24.8,-19.3,1.0
11,19.8,-45.6,0.0
12,30.6,-60.9,0.0
13,21.4,-20.9,0.0
14,35.9,-17.5,0.0
15,41.2,-32.2,1.0
16,14.4,-73.4,0.0
17,16.1,-32.3,4.3
18,17.7,-20.7,0.0
19,17.4,-15.3,0.0
20,25.5,-70.1,0.0